Density functional theory data (PBE-GGA) for a relaxed structure of Ti2Ni2Bi.

Results
formation enthalpy at 0 K = -0.23 eV per atom
raw total energy = -64.8 eV for the cell shown
ΔE to the lowest computed polymorph = 0.0 kJ per mole of atoms
magnetization = 0.0 μB per cell

a b c (Å): 7.000 7.000 3.270
angles (deg): 90.00 90.00 90.00
Space group P4/mbm (No. 127)
Asymmetric unit:
Ti (0.160, 0.340, 0.000) [4 per cell]
Ni (0.123, 0.623, 0.500) [4 per cell]
Bi (0.000, 0.000, 0.500) [2 per cell]